No. 1
Below is Li2TlFe after structural relaxation, with properties calculated at the PBE level.

Its total magnetic moment is 2.5 μB per formula unit. The energy of formation from the pure elements comes out at 1.50 eV/f.u. The calculation puts the calculated volume at 71.55 Å³/f.u. The crystal system is tetragonal. The value obtained for the density of states at the Fermi level is 11.29 states/eV per cell.

It has space group I-42d (No. 122), with a = 7.310 Å, b = 7.310 Å, c = 5.355 Å, α = 90.00°, β = 90.00° and γ = 90.00°. The distinct sites, in fractional coordinates, are Li at (0.232, 0.250, 0.125), Tl at (0.000, 0.000, 0.500) and Fe at (0.000, 0.000, 0.000).

---

No. 2
Below is Li2TlFe after structural relaxation, with properties calculated at the PBE level.

Its total magnetic moment is 2.7 μB per formula unit. The energy of formation from the pure elements comes out at 0.81 eV/f.u. The calculation puts the calculated volume at 67.58 Å³/f.u. The crystal system is orthorhombic. The value obtained for the density of states at the Fermi level is 4.00 states/eV per cell.

It has space group Immm (No. 71), with a = 3.230 Å, b = 4.520 Å, c = 9.258 Å, α = 90.00°, β = 90.00° and γ = 90.00°. The distinct sites, in fractional coordinates, are Li at (0.000, 0.000, 0.238), Tl at (0.000, 0.500, 0.000) and Fe at (0.000, 0.500, 0.500).

---

No. 3
Below is LiTl2Fe after structural relaxation, with properties calculated at the PBE level.

Its total magnetic moment is 2.8 μB per formula unit. The energy of formation from the pure elements comes out at 2.02 eV/f.u. The calculation puts the calculated volume at 92.74 Å³/f.u. The crystal system is tetragonal. The value obtained for the density of states at the Fermi level is 18.02 states/eV per cell.

It has space group I-42d (No. 122), with a = 4.477 Å, b = 4.477 Å, c = 18.510 Å, α = 90.00°, β = 90.00° and γ = 90.00°. The distinct sites, in fractional coordinates, are Li at (0.000, 0.000, 0.000), Tl at (0.240, 0.250, 0.625) and Fe at (0.000, 0.000, 0.500).

---

No. 4
Below is LiTl2Fe after structural relaxation, with properties calculated at the PBE level.

Its total magnetic moment is 2.7 μB per formula unit. The energy of formation from the pure elements comes out at 1.13 eV/f.u. The calculation puts the calculated volume at 79.77 Å³/f.u. The crystal system is monoclinic. The value obtained for the density of states at the Fermi level is 4.62 states/eV per cell.

It has space group Cm (No. 8), with a = 10.796 Å, b = 3.128 Å, c = 4.884 Å, α = 90.00°, β = 104.65° and γ = 90.00°. The distinct sites, in fractional coordinates, are Li at (0.000, 0.000, 0.000), Tl at (0.031, 0.500, 0.538), Tl at (0.261, 0.500, 0.138) and Fe at (0.273, 0.000, 0.642).